DFT (GGA-PBE) results for crystalline Eu2SiN at its relaxed geometry.

The structure in CIF format:
```
data_Eu2SiN
_chemical_formula_sum 'Eu2 Si1 N1'
_symmetry_space_group_name_H-M 'P 1'
_symmetry_Int_Tables_number 1
_cell_length_a 9.103
_cell_length_b 9.103
_cell_length_c 9.103
_cell_angle_alpha 22.39
_cell_angle_beta 22.39
_cell_angle_gamma 22.39
loop_
_symmetry_equiv_pos_as_xyz
'x,y,z'
loop_
_atom_site_label
_atom_site_type_symbol
_atom_site_fract_x
_atom_site_fract_y
_atom_site_fract_z
Eu1 Eu 0.114 0.114 0.114
Eu2 Eu 0.886 0.886 0.886
Si1 Si 0.000 0.000 0.000
N1 N 0.500 0.500 0.500
```

- Crystal system: trigonal
- V: 23.99 Å³ per atom
- E: -8.7937 eV/atom
- Magnetic moment: 13.8 μB per formula unit
- ΔE_f (raw): -0.88 eV per formula unit


DFT (GGA-PBE) results for crystalline TaCdRu2 at its relaxed geometry.

The structure in CIF format:
```
data_TaCdRu2
_chemical_formula_sum 'Ta1 Cd1 Ru2'
_symmetry_space_group_name_H-M 'P 1'
_symmetry_Int_Tables_number 1
_cell_length_a 5.293
_cell_length_b 5.293
_cell_length_c 2.806
_cell_angle_alpha 103.27
_cell_angle_beta 103.27
_cell_angle_gamma 113.53
loop_
_symmetry_equiv_pos_as_xyz
'x,y,z'
loop_
_atom_site_label
_atom_site_type_symbol
_atom_site_fract_x
_atom_site_fract_y
_atom_site_fract_z
Ta1 Ta 0.000 0.000 0.000
Cd1 Cd 0.500 0.500 0.000
Ru1 Ru 0.000 0.500 0.500
Ru2 Ru 0.500 0.000 0.500
```

- Crystal system: monoclinic
- DFT formation energy: 0.262 eV per atom
- V: 16.36 Å³ per atom
- E: -7.5679 eV/atom
- Magnetic moment: 0.0 μB per formula unit


DFT (GGA-PBE) results for crystalline Dy8As3PS4 at its relaxed geometry.

The structure in CIF format:
```
data_Dy8As3PS4
_chemical_formula_sum 'Dy8 As3 P1 S4'
_symmetry_space_group_name_H-M 'P 1'
_symmetry_Int_Tables_number 1
_cell_length_a 7.989
_cell_length_b 7.989
_cell_length_c 7.989
_cell_angle_alpha 60.32
_cell_angle_beta 60.32
_cell_angle_gamma 60.32
loop_
_symmetry_equiv_pos_as_xyz
'x,y,z'
loop_
_atom_site_label
_atom_site_type_symbol
_atom_site_fract_x
_atom_site_fract_y
_atom_site_fract_z
Dy1 Dy 0.245 0.753 0.753
Dy2 Dy 0.247 0.247 0.755
Dy3 Dy 0.247 0.755 0.247
Dy4 Dy 0.249 0.249 0.249
Dy5 Dy 0.751 0.751 0.751
Dy6 Dy 0.753 0.245 0.753
Dy7 Dy 0.753 0.753 0.245
Dy8 Dy 0.755 0.247 0.247
As1 As 0.000 0.500 0.500
As2 As 0.500 0.000 0.500
As3 As 0.500 0.500 0.000
P1 P 0.000 0.000 0.000
S1 S 0.000 0.000 0.500
S2 S 0.000 0.500 0.000
S3 S 0.500 0.000 0.000
S4 S 0.500 0.500 0.500
```

- Crystal system: trigonal
- V: 22.70 Å³ per atom
- E: -6.3537 eV/atom
- Magnetic moment: 0.0 μB per formula unit
- ΔE_f (raw): -28.97 eV per formula unit


- Among the records above, which one has the highest V?
  Eu2SiN


- E of number 1 (Eu2SiN)?
  -8.7937 eV/atom


- Which of these has the highest magnetic moment?
  Eu2SiN